Entry 1:
Entry from Alexandria via LeMat-Bulk: a relaxed Nd2AsAu crystal (PBE).

Unit cell a=4.2419 b=4.2419 c=7.6776 alpha=73.96 beta=73.96 gamma=60.00
Last column: nearest neighbours and their distance in Å.
Element x y z (fractional)
Nd 0.2549 0.2549 0.2352  3 As 2.99, 3 Au 3.12
Nd 0.7451 0.7451 0.7648  3 As 2.99, 3 Au 3.12
As 0.0000 0.0000 0.0000  6 Nd 2.99
Au 0.5000 0.5000 0.5000  6 Nd 3.12

Values from the calculation:
The final energy is -21.61 eV/f.u. The symmetry is No. 166. The total magnetization is 0.002 μB per formula unit. The calculation puts the formation enthalpy at 0 K at -1037 meV/atom.

Entry 2:
Entry from Alexandria via LeMat-Bulk: a relaxed NdAsAu4 crystal (PBE).

Unit cell a=5.6310 b=5.6310 c=5.6310 alpha=60.00 beta=60.00 gamma=60.00
Last column: nearest neighbours and their distance in Å.
Element x y z (fractional)
Nd 0.2500 0.2500 0.2500  12 Au 3.30, 4 As 3.45
As 0.0000 0.0000 0.0000  12 Au 3.30, 4 Nd 3.45
Au 0.6251 0.6251 0.1246  6 Au 2.81-2.82
Au 0.6251 0.1246 0.6251  6 Au 2.81-2.82
Au 0.6251 0.6251 0.6251  6 Au 2.81-2.82
Au 0.1246 0.6251 0.6251  6 Au 2.81-2.82

Values from the calculation:
The final energy is -24.87 eV/f.u. The symmetry is No. 216. The total magnetization is 0.000 μB per formula unit. The calculation puts the formation enthalpy at 0 K at -390 meV/atom.

Entry 3:
Entry from Alexandria via LeMat-Bulk: a relaxed NdAs2Au crystal (PBE).

Unit cell a=4.0688 b=4.5964 c=4.5964 alpha=90.00 beta=90.00 gamma=90.00
Last column: nearest neighbours and their distance in Å.
Element x y z (fractional)
Nd 0.5000 0.5000 0.5000  8 As 3.07, 4 Au 3.25
As 0.0000 0.0000 0.5000  4 Nd 3.07, 4 Au 3.07, 4 As 3.25
As 0.0000 0.5000 0.0000  4 Au 3.07, 4 Nd 3.07, 4 As 3.25
Au 0.5000 0.0000 0.0000  8 As 3.07, 4 Nd 3.25

Values from the calculation:
The final energy is -19.80 eV/f.u. The symmetry is No. 123. The total magnetization is 0.000 μB per formula unit. The calculation puts the formation enthalpy at 0 K at -615 meV/atom.

Entry 4:
Entry from Alexandria via LeMat-Bulk: a relaxed NdAs2Au2 crystal (PBE).

Unit cell a=4.1498 b=4.1298 c=12.4914 alpha=90.00 beta=99.56 gamma=90.00
Last column: nearest neighbours and their distance in Å.
Element x y z (fractional)
Nd 0.3450 0.2500 0.6900  8 As 3.06-3.13, 2 Au 3.39
Nd 0.6550 0.7500 0.3100  8 As 3.06-3.13, 2 Au 3.39
As 0.7498 0.2500 0.4996  4 As 2.93, 4 Nd 3.12-3.13
As 0.2502 0.7500 0.5004  4 As 2.93, 4 Nd 3.12-3.13
As 0.8813 0.7500 0.7625  4 Au 2.75-2.79, 4 Nd 3.06
As 0.1187 0.2500 0.2375  4 Au 2.75-2.79, 4 Nd 3.06
Au 0.0425 0.7500 0.0850  2 As 2.79, 8 Au 2.93-3.01
Au 0.4543 0.7500 0.9085  2 As 2.75, 8 Au 2.93-3.06
Au 0.9575 0.2500 0.9150  2 As 2.79, 8 Au 2.93-3.01
Au 0.5457 0.2500 0.0915  2 As 2.75, 8 Au 2.93-3.06

Values from the calculation:
The final energy is -23.60 eV/f.u. The symmetry is No. 63. The total magnetization is 0.000 μB per formula unit. The calculation puts the formation enthalpy at 0 K at -597 meV/atom.

Entry 5:
Entry from Alexandria via LeMat-Bulk: a relaxed NdAs2Au crystal (PBE).

Unit cell a=4.1093 b=4.1452 c=20.7319 alpha=90.00 beta=90.00 gamma=90.00
Last column: nearest neighbours and their distance in Å.
Element x y z (fractional)
Nd 0.2500 0.2265 0.1179  8 As 3.03-3.25, 1 Au 3.40
Nd 0.7500 0.7265 0.3821  8 As 3.03-3.25, 1 Au 3.40
Nd 0.2500 0.2735 0.6179  8 As 3.03-3.25, 1 Au 3.40
Nd 0.7500 0.7735 0.8821  8 As 3.03-3.25, 1 Au 3.40
As 0.2500 0.7007 0.0018  2 As 2.65
As 0.7500 0.7276 0.1586  4 Au 2.78-2.85, 4 Nd 3.03-3.04
As 0.2500 0.2276 0.3414  4 Au 2.78-2.85, 4 Nd 3.03-3.04
As 0.7500 0.2007 0.4982  2 As 2.65
As 0.2500 0.7993 0.5018  2 As 2.65
As 0.7500 0.7724 0.6586  4 Au 2.78-2.85, 4 Nd 3.03-3.04
As 0.2500 0.2724 0.8414  4 Au 2.78-2.85, 4 Nd 3.03-3.04
As 0.7500 0.2993 0.9982  2 As 2.65
Au 0.7500 0.2190 0.2513  4 As 2.78-2.85, 4 Au 2.92
Au 0.2500 0.7190 0.2487  4 As 2.78-2.85, 4 Au 2.92
Au 0.7500 0.2810 0.7513  4 As 2.78-2.85, 4 Au 2.92
Au 0.2500 0.7810 0.7487  4 As 2.78-2.85, 4 Au 2.92

Values from the calculation:
The final energy is -20.40 eV/f.u. The symmetry is No. 62. The total magnetization is 0.000 μB per formula unit. The calculation puts the formation enthalpy at 0 K at -765 meV/atom.

Entry 6:
Entry from Alexandria via LeMat-Bulk: a relaxed Nd2AsAu crystal (PBE).

Unit cell a=4.3269 b=4.1591 c=12.3898 alpha=99.66 beta=90.00 gamma=90.00
Last column: nearest neighbours and their distance in Å.
Element x y z (fractional)
Nd 0.7500 0.6893 0.3786  5 As 2.98-3.00
Nd 0.2500 0.3107 0.6214  5 As 2.98-3.00
Nd 0.7500 0.9305 0.8610  1 As 2.92, 4 Au 3.07
Nd 0.2500 0.0695 0.1390  1 As 2.92, 4 Au 3.07
As 0.2500 0.1889 0.3778  6 Nd 2.92-3.00
As 0.7500 0.8111 0.6222  6 Nd 2.92-3.00
Au 0.2500 0.4576 0.9152  2 Au 2.99, 4 Nd 3.07
Au 0.7500 0.5424 0.0848  2 Au 2.99, 4 Nd 3.07

Values from the calculation:
The final energy is -21.94 eV/f.u. The symmetry is No. 63. The total magnetization is 0.000 μB per formula unit. The calculation puts the formation enthalpy at 0 K at -1119 meV/atom.

Entry 7:
Entry from Alexandria via LeMat-Bulk: a relaxed Nd2Ni4As3Au crystal (PBE).

Unit cell a=4.2123 b=4.2123 c=9.7165 alpha=90.00 beta=90.00 gamma=90.00
Last column: nearest neighbours and their distance in Å.
Element x y z (fractional)
Nd 0.5000 0.0000 0.2414  8 Ni 3.15-3.21, 6 As 3.18-3.28, 2 Au 3.28
Nd 0.0000 0.5000 0.7586  8 Ni 3.15-3.21, 6 As 3.18-3.28, 2 Au 3.28
Ni 0.5000 0.5000 0.0000  4 As 2.44
Ni 0.0000 0.0000 0.0000  4 As 2.44
Ni 0.5000 0.0000 0.6348  3 As 2.32-2.48, 2 Au 2.48
Ni 0.0000 0.5000 0.3652  3 As 2.32-2.48, 2 Au 2.48
As 0.0000 0.0000 0.5000  4 Ni 2.48
As 0.5000 0.0000 0.8735  5 Ni 2.32-2.44
As 0.0000 0.5000 0.1265  5 Ni 2.32-2.44
Au 0.5000 0.5000 0.5000  4 Ni 2.48

Values from the calculation:
The final energy is -57.03 eV/f.u. The symmetry is No. 115. The total magnetization is 0.000 μB per formula unit. The calculation puts the formation enthalpy at 0 K at -714 meV/atom.

Entry 8:
Entry from Alexandria via LeMat-Bulk: a relaxed Nd10As8Au3O10 crystal (PBE).

Unit cell a=9.8740 b=9.8740 c=9.8740 alpha=124.03 beta=124.03 gamma=83.15
Last column: nearest neighbours and their distance in Å.
Element x y z (fractional)
Nd 0.3367 0.3367 0.0000  4 O 2.39
Nd 0.6633 0.6633 0.0000  4 O 2.39
Nd 0.1200 0.7253 0.1954  4 O 2.33-2.38
Nd 0.5299 0.9246 0.8046  4 O 2.33-2.38
Nd 0.7253 0.5299 0.6053  4 O 2.33-2.38
Nd 0.9246 0.1200 0.3947  4 O 2.33-2.38
Nd 0.8800 0.2747 0.8046  4 O 2.33-2.38
Nd 0.4701 0.0754 0.1954  4 O 2.33-2.38
Nd 0.2747 0.4701 0.3947  4 O 2.33-2.38
Nd 0.0754 0.8800 0.6053  4 O 2.33-2.38
As 0.2482 0.1292 0.3774  1 As 2.59, 2 Au 2.59-2.62
As 0.7518 0.8708 0.6226  1 As 2.59, 2 Au 2.59-2.62
As 0.1292 0.7518 0.8810  1 As 2.59, 2 Au 2.59-2.62
As 0.8708 0.2482 0.1190  1 As 2.59, 2 Au 2.59-2.62
As 0.2681 0.4079 0.6760  1 As 2.59, 1 Au 2.63
As 0.7319 0.5921 0.3240  1 As 2.59, 1 Au 2.63
As 0.4079 0.7319 0.1398  1 As 2.59, 1 Au 2.63
As 0.5921 0.2681 0.8602  1 As 2.59, 1 Au 2.63
Au 0.0000 0.0000 0.0000  4 As 2.59
Au 0.0000 0.5000 0.5000  4 As 2.62-2.63
Au 0.5000 0.0000 0.5000  4 As 2.62-2.63
O 0.4515 0.3546 0.2980  4 Nd 2.33-2.39
O 0.0566 0.1535 0.7020  4 Nd 2.33-2.39
O 0.3546 0.0566 0.9031  4 Nd 2.33-2.39
O 0.1535 0.4515 0.0969  4 Nd 2.33-2.39
O 0.5485 0.6454 0.7020  4 Nd 2.33-2.39
O 0.9434 0.8465 0.2980  4 Nd 2.33-2.39
O 0.6454 0.9434 0.0969  4 Nd 2.33-2.39
O 0.8465 0.5485 0.9031  4 Nd 2.33-2.39
O 0.2500 0.7500 0.5000  4 Nd 2.38
O 0.7500 0.2500 0.5000  4 Nd 2.38

Values from the calculation:
The final energy is -212.29 eV/f.u. The symmetry is No. 87. The total magnetization is 0.000 μB per formula unit. The calculation puts the uncorrected formation energy at -2.194 eV per atom.

Entry 9:
Entry from Alexandria via LeMat-Bulk: a relaxed Nd2As4Pt3Au crystal (PBE).

Unit cell a=4.5440 b=4.5440 c=9.8382 alpha=90.00 beta=90.00 gamma=90.00
Last column: nearest neighbours and their distance in Å.
Element x y z (fractional)
Nd 0.5000 0.0000 0.2466  8 As 3.32-3.42, 7 Pt 3.37-3.56, 2 Au 3.37
Nd 0.0000 0.5000 0.7534  8 As 3.32-3.42, 7 Pt 3.37-3.56, 2 Au 3.37
As 0.5000 0.5000 0.0000  4 Pt 2.54
As 0.0000 0.0000 0.0000  4 Pt 2.54
As 0.5000 0.0000 0.6337  3 Pt 2.47-2.63, 2 Au 2.63
As 0.0000 0.5000 0.3663  3 Pt 2.47-2.63, 2 Au 2.63
Pt 0.0000 0.0000 0.5000  4 As 2.63
Pt 0.5000 0.0000 0.8843  5 As 2.47-2.54
Pt 0.0000 0.5000 0.1157  5 As 2.47-2.54
Au 0.5000 0.5000 0.5000  4 As 2.63

Values from the calculation:
The final energy is -57.46 eV/f.u. The symmetry is No. 115. The total magnetization is 0.000 μB per formula unit. The calculation puts the formation enthalpy at 0 K at -793 meV/atom.

Entry 10:
Entry from Alexandria via LeMat-Bulk: a relaxed NdAsPt2Au2 crystal (PBE).

Unit cell a=5.2758 b=5.2758 c=6.4082 alpha=114.31 beta=114.31 gamma=90.00
Last column: nearest neighbours and their distance in Å.
Element x y z (fractional)
Nd 0.5000 0.5000 0.0000  2 Pt 2.84
As 0.0000 0.0000 0.0000  2 Pt 2.37
Pt 0.2274 0.2274 0.4549  1 As 2.37, 4 Au 2.65
Pt 0.7726 0.7726 0.5451  1 As 2.37, 4 Au 2.65
Au 0.2500 0.7500 0.5000  4 Pt 2.65
Au 0.7500 0.2500 0.5000  4 Pt 2.65

Values from the calculation:
The final energy is -28.94 eV/f.u. The symmetry is No. 139. The total magnetization is 0.000 μB per formula unit. The calculation puts the formation enthalpy at 0 K at -148 meV/atom.

Entry 11:
Entry from Alexandria via LeMat-Bulk: a relaxed Nd2As3Rh4Au crystal (PBE).

Unit cell a=4.2127 b=4.2127 c=10.6470 alpha=90.00 beta=90.00 gamma=90.00
Last column: nearest neighbours and their distance in Å.
Element x y z (fractional)
Nd 0.5000 0.0000 0.2555  8 Rh 3.15-3.44, 6 As 3.27-3.35, 2 Au 3.35
Nd 0.0000 0.5000 0.7445  8 Rh 3.15-3.44, 6 As 3.27-3.35, 2 Au 3.35
As 0.0000 0.0000 0.5000  4 Rh 2.64
As 0.5000 0.0000 0.8702  5 Rh 2.36-2.52
As 0.0000 0.5000 0.1298  5 Rh 2.36-2.52
Rh 0.5000 0.5000 0.0000  4 As 2.52
Rh 0.0000 0.0000 0.0000  4 As 2.52
Rh 0.5000 0.0000 0.6489  3 As 2.36-2.64, 2 Au 2.64
Rh 0.0000 0.5000 0.3511  3 As 2.36-2.64, 2 Au 2.64
Au 0.5000 0.5000 0.5000  4 Rh 2.64

Values from the calculation:
The final energy is -64.07 eV/f.u. The symmetry is No. 115. The total magnetization is 0.000 μB per formula unit. The calculation puts the formation enthalpy at 0 K at -790 meV/atom.

Entry 12:
Entry from Alexandria via LeMat-Bulk: a relaxed Nd4As2AuSe crystal (PBE).

Unit cell a=4.2583 b=7.3923 c=7.4423 alpha=71.08 beta=90.00 gamma=90.00
Last column: nearest neighbours and their distance in Å.
Element x y z (fractional)
Nd 0.0000 0.7612 0.7499  3 As 2.95-3.00, 2 Se 3.07, 1 Au 3.08
Nd 0.0000 0.2388 0.2501  3 As 2.95-3.00, 2 Se 3.07, 1 Au 3.08
Nd 0.5000 0.7622 0.2412  3 As 2.97-3.00, 1 Se 3.04, 2 Au 3.09
Nd 0.5000 0.2378 0.7588  3 As 2.97-3.00, 1 Se 3.04, 2 Au 3.09
As 0.0000 0.0000 0.0000  6 Nd 2.95-2.97
As 0.5000 0.0000 0.5000  6 Nd 3.00
Au 0.0000 0.5000 0.5000  6 Nd 3.08-3.09
Se 0.5000 0.5000 0.0000  6 Nd 3.04-3.07

Values from the calculation:
The final energy is -46.36 eV/f.u. The symmetry is No. 10. The total magnetization is 0.000 μB per formula unit. The calculation puts the uncorrected formation energy at -1.404 eV per atom.